{
  "formula": "ErGa2Ni9",
  "functional": "PBE",
  "state": "optimized geometry",
  "magmom_total_mub_per_atom": 0.11,
  "ef_ev_per_atom": -0.29,
  "e_tot_ev_per_atom": -5.5093,
  "density_g_cm3": 9.071,
  "de_polymorph_ev_per_atom": 0.0000,
  "dos_ef_per_ev_atom": 1.557,
  "sg": "P4/mbm (127)",
  "lattice_angstrom": [[8.018, 0.000, 0.000], [0.000, 8.018, 0.000], [0.000, 0.000, 4.755]],
  "species": ["Er", "Er", "Ga", "Ga", "Ga", "Ga", "Ni", "Ni", "Ni", "Ni", "Ni", "Ni", "Ni", "Ni", "Ni", "Ni", "Ni", "Ni", "Ni", "Ni", "Ni", "Ni", "Ni", "Ni"],
  "frac_coords": [[0.000, 0.000, 0.000], [0.500, 0.500, 0.000], [0.122, 0.378, 0.000], [0.378, 0.878, 0.000], [0.622, 0.122, 0.000], [0.878, 0.622, 0.000], [0.000, 0.500, 0.500], [0.064, 0.208, 0.500], [0.177, 0.677, 0.241], [0.177, 0.677, 0.759], [0.208, 0.936, 0.500], [0.292, 0.436, 0.500], [0.323, 0.177, 0.241], [0.323, 0.177, 0.759], [0.436, 0.708, 0.500], [0.500, 0.000, 0.500], [0.564, 0.292, 0.500], [0.677, 0.823, 0.241], [0.677, 0.823, 0.759], [0.708, 0.564, 0.500], [0.792, 0.064, 0.500], [0.823, 0.323, 0.241], [0.823, 0.323, 0.759], [0.936, 0.792, 0.500]]
}

---

{
  "formula": "ScCuOs2",
  "functional": "PBE",
  "state": "optimized geometry",
  "magmom_total_mub_per_atom": 0.00,
  "ef_ev_per_atom": 0.23,
  "e_tot_ev_per_atom": -7.9912,
  "density_g_cm3": 13.347,
  "de_polymorph_ev_per_atom": 0.2561,
  "dos_ef_per_ev_atom": 1.475,
  "sg": "P4/mmm (123)",
  "lattice_angstrom": [[3.173, 0.000, 0.000], [0.000, 3.173, 0.000], [0.000, 0.000, 6.043]],
  "species": ["Sc", "Cu", "Os", "Os"],
  "frac_coords": [[0.000, 0.000, 0.000], [0.000, 0.000, 0.500], [0.500, 0.500, 0.286], [0.500, 0.500, 0.714]]
}

---

{
  "formula": "Ce6Sn",
  "functional": "PBE",
  "state": "optimized geometry",
  "magmom_total_mub_per_atom": 0.00,
  "ef_ev_per_atom": 0.76,
  "e_tot_ev_per_atom": -4.8994,
  "density_g_cm3": 7.287,
  "dos_ef_per_ev_atom": 2.646,
  "sg": "Im-3m (229)",
  "lattice_angstrom": [[-3.795, 3.795, 3.795], [3.795, -3.795, 3.795], [3.795, 3.795, -3.795]],
  "species": ["Ce", "Ce", "Ce", "Ce", "Ce", "Ce", "Sn"],
  "frac_coords": [[0.250, 0.500, 0.750], [0.250, 0.750, 0.500], [0.500, 0.250, 0.750], [0.500, 0.750, 0.250], [0.750, 0.250, 0.500], [0.750, 0.500, 0.250], [0.000, 0.000, 0.000]]
}

---

{
  "formula": "PmAg2Te3",
  "functional": "PBE",
  "state": "optimized geometry",
  "e_form_raw_mev_per_atom": -555,
  "magmom_total_mub_per_atom": 0.00,
  "e_tot_ev_per_atom": -3.8677,
  "density_g_cm3": 6.481,
  "dos_ef_per_ev_atom": 0.496,
  "sg": "Pmmn (59)",
  "lattice_angstrom": [[6.036, 0.000, 0.000], [0.000, 13.196, 0.000], [0.000, 0.000, 4.783]],
  "species": ["Pm", "Pm", "Ag", "Ag", "Ag", "Ag", "Te", "Te", "Te", "Te", "Te", "Te"],
  "frac_coords": [[0.250, 0.250, 0.056], [0.750, 0.750, 0.944], [0.250, 0.622, 0.560], [0.250, 0.878, 0.560], [0.750, 0.122, 0.440], [0.750, 0.378, 0.440], [0.250, 0.092, 0.532], [0.250, 0.408, 0.532], [0.250, 0.750, 0.048], [0.750, 0.250, 0.952], [0.750, 0.592, 0.468], [0.750, 0.908, 0.468]]
}

---

{
  "formula": "Ti2PdI",
  "functional": "PBE",
  "state": "optimized geometry",
  "e_form_raw_mev_per_atom": 48,
  "magmom_total_mub_per_atom": 0.00,
  "e_tot_ev_per_atom": -5.5854,
  "density_g_cm3": 7.583,
  "de_polymorph_ev_per_atom": 0.0000,
  "dos_ef_per_ev_atom": 0.819,
  "sg": "Fm-3m (225)",
  "lattice_angstrom": [[0.000, 3.303, 3.303], [3.303, 0.000, 3.303], [3.303, 3.303, 0.000]],
  "species": ["Ti", "Ti", "Pd", "I"],
  "frac_coords": [[0.250, 0.250, 0.250], [0.750, 0.750, 0.750], [0.000, 0.000, 0.000], [0.500, 0.500, 0.500]]
}

---

{
  "formula": "Sm2NiTe",
  "functional": "PBE",
  "state": "optimized geometry",
  "e_form_raw_mev_per_atom": -813,
  "magmom_total_mub_per_atom": 0.00,
  "e_tot_ev_per_atom": -5.4035,
  "density_g_cm3": 7.677,
  "de_polymorph_ev_per_atom": 0.0000,
  "dos_ef_per_ev_atom": 0.892,
  "sg": "Cmcm (63)",
  "lattice_angstrom": [[2.069, -11.402, 0.000], [2.069, 11.402, 0.000], [0.000, 0.000, 4.466]],
  "species": ["Sm", "Sm", "Sm", "Sm", "Ni", "Ni", "Te", "Te"],
  "frac_coords": [[0.056, 0.944, 0.750], [0.341, 0.659, 0.750], [0.659, 0.341, 0.250], [0.944, 0.056, 0.250], [0.470, 0.530, 0.750], [0.530, 0.470, 0.250], [0.195, 0.805, 0.750], [0.805, 0.195, 0.250]]
}